VASP calculation (GGA-PBE) on crystalline GaCu2BiI at its relaxed geometry.

space-group type = P4/mmm
density of states at the Fermi level = 4.43 states/eV/f.u.
spin magnetization = 0.0 Bohr magnetons per cell
formation energy from raw total energies = 0.77 eV/atom
volume = 142 Å³ per cell
VASP energy = -2.561 eV per atom

Cell lengths 4.8752, 4.8752, 5.9915 Å; angles 90.00, 90.00, 90.00 degrees
Element x y z (fractional)
Ga: 0.0000 0.0000 0.0000
Cu: 0.0000 0.5000 0.5000
Cu: 0.5000 0.0000 0.5000
Bi: 0.5000 0.5000 0.0000
I: 0.0000 0.0000 0.5000


VASP calculation (GGA-PBE) on crystalline LaPm4Pr3Se8 at its relaxed geometry.

space-group type = R-3m
density of states at the Fermi level = 10.78 states/eV/f.u.
spin magnetization = 0.0 Bohr magnetons per cell
formation energy from raw total energies = -1.86 eV/atom
volume = 431 Å³ per cell
VASP energy = -5.991 eV per atom

Cell lengths 8.4827, 8.4827, 8.4827 Å; angles 59.91, 59.91, 59.91 degrees
Element x y z (fractional)
La: 0.0000 0.0000 0.0000
Pm: 0.0000 0.0000 0.5000
Pm: 0.0000 0.5000 0.0000
Pm: 0.5000 0.0000 0.0000
Pm: 0.5000 0.5000 0.5000
Pr: 0.0000 0.5000 0.5000
Pr: 0.5000 0.0000 0.5000
Pr: 0.5000 0.5000 0.0000
Se: 0.2479 0.2479 0.2479
Se: 0.2482 0.7476 0.7476
Se: 0.2524 0.2524 0.7518
Se: 0.2524 0.7518 0.2524
Se: 0.7476 0.2482 0.7476
Se: 0.7476 0.7476 0.2482
Se: 0.7518 0.2524 0.2524
Se: 0.7521 0.7521 0.7521


VASP calculation (GGA-PBE) on crystalline Pr3TlSb at its relaxed geometry.

space-group type = Ama2
density of states at the Fermi level = 4.80 states/eV/f.u.
spin magnetization = 0.0 Bohr magnetons per cell
formation energy from raw total energies = -0.50 eV/atom
volume = 318 Å³ per cell
VASP energy = -4.665 eV per atom

Cell lengths 5.7156, 9.5388, 9.5388 Å; angles 142.29, 90.00, 90.00 degrees
Element x y z (fractional)
Pr: 0.2500 0.0504 0.9496
Pr: 0.2500 0.3465 0.8638
Pr: 0.2500 0.4176 0.5513
Pr: 0.7500 0.5513 0.4176
Pr: 0.7500 0.8638 0.3465
Pr: 0.7500 0.9496 0.0504
Tl: 0.2500 0.6788 0.3930
Tl: 0.7500 0.3930 0.6788
Sb: 0.2500 0.8630 0.1353
Sb: 0.7500 0.1353 0.8630


VASP calculation (GGA-PBE) on crystalline Rb3Cd5I12 at its relaxed geometry.

space-group type = Ia-3d
density of states at the Fermi level = 2.84 states/eV/f.u.
spin magnetization = 0.0 Bohr magnetons per cell
formation energy from raw total energies = -0.81 eV/atom
volume = 3666 Å³ per cell
VASP energy = -2.117 eV per atom

Cell lengths 16.8243, 16.8243, 16.8243 Å; angles 109.47, 109.47, 109.47 degrees
Element x y z (fractional)
Rb: 0.1250 0.2500 0.3750
Rb: 0.1250 0.3750 0.7500
Rb: 0.2500 0.3750 0.1250
Rb: 0.2500 0.8750 0.6250
Rb: 0.3750 0.1250 0.2500
Rb: 0.3750 0.7500 0.1250
Rb: 0.6250 0.2500 0.8750
Rb: 0.6250 0.8750 0.7500
Rb: 0.7500 0.1250 0.3750
Rb: 0.7500 0.6250 0.8750
Rb: 0.8750 0.6250 0.2500
Rb: 0.8750 0.7500 0.6250
Cd: 0.0000 0.0000 0.0000
Cd: 0.0000 0.0000 0.5000
Cd: 0.0000 0.5000 0.0000
Cd: 0.0000 0.5000 0.5000
Cd: 0.1250 0.7500 0.8750
Cd: 0.1250 0.8750 0.2500
Cd: 0.2500 0.1250 0.8750
Cd: 0.2500 0.6250 0.3750
Cd: 0.3750 0.2500 0.6250
Cd: 0.3750 0.6250 0.7500
Cd: 0.5000 0.0000 0.0000
Cd: 0.5000 0.0000 0.5000
Cd: 0.5000 0.5000 0.0000
Cd: 0.5000 0.5000 0.5000
Cd: 0.6250 0.3750 0.2500
Cd: 0.6250 0.7500 0.3750
Cd: 0.7500 0.3750 0.6250
Cd: 0.7500 0.8750 0.1250
Cd: 0.8750 0.1250 0.7500
Cd: 0.8750 0.2500 0.1250
I: 0.0198 0.1998 0.1138
I: 0.0198 0.3200 0.9060
I: 0.0860 0.6998 0.6800
I: 0.0860 0.8862 0.4060
I: 0.0940 0.6138 0.4140
I: 0.0940 0.9802 0.6800
I: 0.1138 0.0198 0.1998
I: 0.1138 0.5940 0.9140
I: 0.1800 0.1998 0.5860
I: 0.1800 0.4802 0.5940
I: 0.1998 0.1138 0.0198
I: 0.1998 0.5860 0.1800
I: 0.3002 0.3200 0.9140
I: 0.3002 0.4802 0.3862
I: 0.3200 0.9060 0.0198
I: 0.3200 0.9140 0.3002
I: 0.3862 0.3002 0.4802
I: 0.3862 0.5860 0.9060
I: 0.4060 0.0860 0.8862
I: 0.4060 0.8200 0.5198
I: 0.4140 0.0940 0.6138
I: 0.4140 0.8200 0.8002
I: 0.4802 0.3862 0.3002
I: 0.4802 0.5940 0.1800
I: 0.5198 0.4060 0.8200
I: 0.5198 0.6138 0.6998
I: 0.5860 0.1800 0.1998
I: 0.5860 0.9060 0.3862
I: 0.5940 0.1800 0.4802
I: 0.5940 0.9140 0.1138
I: 0.6138 0.4140 0.0940
I: 0.6138 0.6998 0.5198
I: 0.6800 0.0860 0.6998
I: 0.6800 0.0940 0.9802
I: 0.6998 0.5198 0.6138
I: 0.6998 0.6800 0.0860
I: 0.8002 0.4140 0.8200
I: 0.8002 0.8862 0.9802
I: 0.8200 0.5198 0.4060
I: 0.8200 0.8002 0.4140
I: 0.8862 0.4060 0.0860
I: 0.8862 0.9802 0.8002
I: 0.9060 0.0198 0.3200
I: 0.9060 0.3862 0.5860
I: 0.9140 0.1138 0.5940
I: 0.9140 0.3002 0.3200
I: 0.9802 0.6800 0.0940
I: 0.9802 0.8002 0.8862


VASP calculation (GGA-PBE) on crystalline CoMoIr2 at its relaxed geometry.

space-group type = P4/mmm
density of states at the Fermi level = 4.69 states/eV/f.u.
spin magnetization = 2.3 Bohr magnetons per cell
E_form = -2.49 kcal/mol of atoms
volume = 56 Å³ per cell
VASP energy = -9.023 eV per atom
energy relative to the lowest polymorph listed for this composition = 76.7 meV/atom

Cell lengths 2.7538, 2.7538, 7.4073 Å; angles 90.00, 90.00, 90.00 degrees
Element x y z (fractional)
Co: 0.0000 0.0000 0.0000
Mo: 0.0000 0.0000 0.5000
Ir: 0.5000 0.5000 0.2389
Ir: 0.5000 0.5000 0.7611


VASP calculation (GGA-PBE) on crystalline ZrGeIN2 at its relaxed geometry.

space-group type = P4/mmm
density of states at the Fermi level = 4.22 states/eV/f.u.
spin magnetization = 0.0 Bohr magnetons per cell
formation energy from raw total energies = 1.20 eV/atom
volume = 86 Å³ per cell
VASP energy = -5.072 eV per atom
energy relative to the lowest polymorph listed for this composition = 658.4 meV/atom

Cell lengths 4.0175, 4.0175, 5.3267 Å; angles 90.00, 90.00, 90.00 degrees
Element x y z (fractional)
Zr: 0.0000 0.0000 0.0000
Ge: 0.5000 0.5000 0.5000
I: 0.5000 0.5000 0.0000
N: 0.0000 0.5000 0.5000
N: 0.5000 0.0000 0.5000


VASP calculation (GGA-PBE) on crystalline TbPHOs at its relaxed geometry.

space-group type = P4/nmm
density of states at the Fermi level = 1.92 states/eV/f.u.
spin magnetization = 0.0 Bohr magnetons per cell
volume = 117 Å³ per cell
VASP energy = -6.944 eV per atom

Cell lengths 4.0270, 4.0270, 7.2108 Å; angles 90.00, 90.00, 90.00 degrees
Element x y z (fractional)
Tb: 0.2500 0.2500 0.1633
Tb: 0.7500 0.7500 0.8367
P: 0.2500 0.2500 0.6720
P: 0.7500 0.7500 0.3280
H: 0.2500 0.7500 0.0000
H: 0.7500 0.2500 0.0000
Os: 0.2500 0.7500 0.5000
Os: 0.7500 0.2500 0.5000


VASP calculation (GGA-PBE) on crystalline KAgAsSe3 at its relaxed geometry.

space-group type = P2_1/m
density of states at the Fermi level = 4.66 states/eV/f.u.
spin magnetization = 0.0 Bohr magnetons per cell
formation energy from raw total energies = -0.35 eV/atom
volume = 326 Å³ per cell
VASP energy = -3.523 eV per atom

Cell lengths 8.9413, 3.9313, 9.7994 Å; angles 90.00, 108.70, 90.00 degrees
Element x y z (fractional)
K: 0.2175 0.2500 0.2607
K: 0.7825 0.7500 0.7393
Ag: 0.0692 0.2500 0.6074
Ag: 0.9308 0.7500 0.3926
As: 0.3305 0.7500 0.8812
As: 0.6695 0.2500 0.1188
Se: 0.1291 0.2500 0.8924
Se: 0.2442 0.7500 0.5552
Se: 0.4653 0.7500 0.1476
Se: 0.5347 0.2500 0.8524
Se: 0.7558 0.2500 0.4448
Se: 0.8709 0.7500 0.1076


VASP calculation (GGA-PBE) on crystalline Cu2PdPt at its relaxed geometry.

space-group type = P4/mmm
density of states at the Fermi level = 5.11 states/eV/f.u.
spin magnetization = 0.0 Bohr magnetons per cell
E_form = -2.82 kcal/mol of atoms
volume = 55 Å³ per cell
VASP energy = -4.979 eV per atom

Cell lengths 3.9165, 3.9165, 3.6075 Å; angles 90.00, 90.00, 90.00 degrees
Element x y z (fractional)
Cu: 0.0000 0.5000 0.0000
Cu: 0.5000 0.0000 0.0000
Pd: 0.0000 0.0000 0.5000
Pt: 0.5000 0.5000 0.5000


VASP calculation (GGA-PBE) on crystalline Na2AlRh at its relaxed geometry.

space-group type = I-42d
density of states at the Fermi level = 1.33 states/eV/f.u.
spin magnetization = 0.0 Bohr magnetons per cell
E_form = 2.66 kcal/mol of atoms
volume = 149 Å³ per cell
VASP energy = -3.318 eV per atom

Cell lengths 11.1951, 11.1951, 11.1951 Å; angles 160.98, 160.98, 27.02 degrees
Element x y z (fractional)
Na: 0.1180 0.6250 0.9930
Na: 0.3750 0.3680 0.4930
Na: 0.6320 0.1250 0.0070
Na: 0.8750 0.8820 0.5070
Al: 0.2500 0.7500 0.5000
Al: 0.5000 0.5000 0.0000
Rh: 0.0000 0.0000 0.0000
Rh: 0.7500 0.2500 0.5000


VASP calculation (GGA-PBE) on crystalline Na2YSb2 at its relaxed geometry.

space-group type = P4/mbm
density of states at the Fermi level = 2.44 states/eV/f.u.
spin magnetization = 0.0 Bohr magnetons per cell
formation energy from raw total energies = -0.37 eV/atom
volume = 263 Å³ per cell
VASP energy = -3.840 eV per atom
energy relative to the lowest polymorph listed for this composition = 22.4 meV/atom

Cell lengths 8.7844, 8.7844, 3.4070 Å; angles 90.00, 90.00, 90.00 degrees
Element x y z (fractional)
Na: 0.1099 0.3901 0.0000
Na: 0.3901 0.8901 0.0000
Na: 0.6099 0.1099 0.0000
Na: 0.8901 0.6099 0.0000
Y: 0.0000 0.0000 0.0000
Y: 0.5000 0.5000 0.0000
Sb: 0.1890 0.6890 0.5000
Sb: 0.3110 0.1890 0.5000
Sb: 0.6890 0.8110 0.5000
Sb: 0.8110 0.3110 0.5000


VASP calculation (GGA-PBE) on crystalline Cr2B2As at its relaxed geometry.

space-group type = P4/mbm
density of states at the Fermi level = 2.83 states/eV/f.u.
spin magnetization = 1.4 Bohr magnetons per cell
E_form = 6.37 kcal/mol of atoms
volume = 107 Å³ per cell
VASP energy = -7.174 eV per atom
energy relative to the lowest polymorph listed for this composition = 222.3 meV/atom

Cell lengths 6.0170, 6.0170, 2.9514 Å; angles 90.00, 90.00, 90.00 degrees
Element x y z (fractional)
Cr: 0.1588 0.3412 0.0000
Cr: 0.3412 0.8412 0.0000
Cr: 0.6588 0.1588 0.0000
Cr: 0.8412 0.6588 0.0000
B: 0.1050 0.6050 0.5000
B: 0.3950 0.1050 0.5000
B: 0.6050 0.8950 0.5000
B: 0.8950 0.3950 0.5000
As: 0.0000 0.0000 0.0000
As: 0.5000 0.5000 0.0000